1.
An optimized crystal structure of SmW4O12, computed with GGA+U.

Structure (POSCAR):
```
SmW4O12
1.0
-1.8036 -6.2630 -1.7412
4.4762 -0.3909 5.0320
-5.3187 3.5796 2.0996
Sm W O
1 4 12
Cartesian
-0.4213 1.5943 3.5658
-0.9018 -3.1315 -0.8706
2.2381 -0.1955 2.5160
-2.6594 1.7898 1.0498
-1.3231 -1.5372 2.6952
-2.0618 1.8137 5.3418
1.6792 0.5047 4.3011
-1.2093 -0.5836 4.4465
-4.3832 1.0192 1.5206
-3.2246 -1.8653 2.9472
-1.6592 0.2904 1.9347
-0.9869 -3.3648 3.4557
1.7371 -4.0936 3.8698
0.5785 -1.2091 2.4432
-1.4368 -2.4908 0.9439
-4.3253 -3.5791 1.0893
-0.5844 -4.8881 0.0486
```

## Properties
Uncorrected energy in eV/atom: -7.653

***

2.
An optimized crystal structure of SmWO5, computed with GGA+U.

Structure (POSCAR):
```
SmWO5
1.0
-0.3074 12.9242 -0.8478
-4.9471 0.0231 2.1452
-0.4207 0.4594 7.1559
Sm W O
4 4 20
Cartesian
-3.3757 5.8713 2.4991
-2.2995 7.5354 5.9541
-2.2094 12.3628 2.0444
-3.4658 1.0439 6.4088
-4.3985 1.8907 2.7731
-1.2767 11.5160 5.6802
-0.9985 8.4334 2.2894
-4.6767 4.9733 6.1639
-2.9168 1.4277 4.1025
-2.7585 11.9790 4.3508
-2.4525 7.7312 1.0364
-3.2227 5.6756 7.4169
-0.2768 7.3844 0.7901
-5.3985 6.0223 7.6631
-5.0744 1.0134 4.3987
-0.6008 12.3933 4.0546
-3.2169 1.1049 1.5797
-2.4583 12.3018 6.8735
-2.1453 7.7551 3.5788
-3.5299 5.6516 4.8745
-4.2162 3.6795 2.7897
-1.4590 9.7272 5.6636
-1.2652 10.1941 2.0399
-4.4100 3.2126 6.4133
-4.2622 11.3724 1.6012
-1.4130 2.0343 6.8520
-1.2797 5.0455 3.0615
-4.3955 8.3612 5.3918
```

## Properties
Energy relative to the lowest polymorph listed for this composition in meV per atom: 16